(1)
# MgAg5, optimized geometry, DFT GGA-PBEsol
# Total magnetic moment in μB/cell: 0.00
# E_form in eV/atom: -0.082
# Calculated total energy in eV per atom: -3.127
data_MgAg5
_space_group_name_H-M_alt 'A m m 2'
_space_group_IT_number 38
_cell_length_a 4.6589
_cell_length_b 3.0014
_cell_length_c 14.5238
_cell_angle_alpha 90.00
_cell_angle_beta 90.00
_cell_angle_gamma 90.00
loop_
_space_group_symop_operation_xyz
'x,y,z'
'-x,-y,z'
'-x,y,z'
'x,-y,z'
'x,y+1/2,z+1/2'
'-x,-y+1/2,z+1/2'
'-x,y+1/2,z+1/2'
'x,-y+1/2,z+1/2'
loop_
_atom_site_label
_atom_site_type_symbol
_atom_site_fract_x
_atom_site_fract_y
_atom_site_fract_z
Mg1 Mg 0.0000 0.0000 0.0000
Ag1 Ag 0.0000 0.0000 0.3330
Ag2 Ag 0.0000 0.0000 0.6661
Ag3 Ag 0.5000 0.0000 0.2147
Ag4 Ag 0.5000 0.0000 0.5489
Ag5 Ag 0.5000 0.0000 0.8818

***

(2)
# Mg3Ag, optimized geometry, DFT GGA-PBEsol
# Total magnetic moment in μB/cell: 0.00
# E_form in eV/atom: -0.087
# Calculated total energy in eV per atom: -2.203
data_Mg3Ag
_space_group_name_H-M_alt 'C m c m'
_space_group_IT_number 63
_space_group_name_Hall '-C 2c 2'
_cell_length_a 6.0896
_cell_length_b 10.4303
_cell_length_c 4.9683
_cell_angle_alpha 90.00
_cell_angle_beta 90.00
_cell_angle_gamma 90.00
loop_
_atom_site_label
_atom_site_type_symbol
_atom_site_fract_x
_atom_site_fract_y
_atom_site_fract_z
Mg1 Mg 0.0000 0.0869 0.2500
Mg2 Mg 0.2424 0.3429 0.2500
Ag1 Ag 0.0000 0.4077 0.7500

***

(3)
# Mg3Ag, optimized geometry, DFT GGA-PBEsol
# Total magnetic moment in μB/cell: 0.00
# E_form in eV/atom: -0.062
# Calculated total energy in eV per atom: -2.178
data_Mg3Ag
_space_group_name_H-M_alt 'P m -3 n'
_space_group_IT_number 223
_space_group_name_Hall '-P 4n 2 3'
_cell_length_a 5.4189
_cell_length_b 5.4189
_cell_length_c 5.4189
_cell_angle_alpha 90.00
_cell_angle_beta 90.00
_cell_angle_gamma 90.00
loop_
_atom_site_label
_atom_site_type_symbol
_atom_site_fract_x
_atom_site_fract_y
_atom_site_fract_z
Mg1 Mg 0.0000 0.2500 0.5000
Ag1 Ag 0.0000 0.0000 0.0000

***

(4)
# Mg26Ag7, optimized geometry, DFT GGA-PBEsol
# Total magnetic moment in μB/cell: 0.00
# E_form in eV/atom: -0.131
# Calculated total energy in eV per atom: -2.186
data_Mg26Ag7
_space_group_name_H-M_alt 'F m -3'
_space_group_IT_number 202
_space_group_name_Hall '-F 2 2 3'
_cell_length_a 17.5095
_cell_length_b 17.5095
_cell_length_c 17.5095
_cell_angle_alpha 90.00
_cell_angle_beta 90.00
_cell_angle_gamma 90.00
loop_
_atom_site_label
_atom_site_type_symbol
_atom_site_fract_x
_atom_site_fract_y
_atom_site_fract_z
Mg1 Mg 0.0000 0.0000 0.2123
Mg2 Mg 0.0000 0.0886 0.3609
Mg3 Mg 0.0936 0.0936 0.0936
Mg4 Mg 0.0959 0.2395 0.3459
Mg5 Mg 0.2500 0.2500 0.2500
Ag1 Ag 0.0000 0.0000 0.0000
Ag2 Ag 0.0000 0.0000 0.5000
Ag3 Ag 0.0000 0.1579 0.2238

***

(5)
# MgAg7, optimized geometry, DFT GGA-PBEsol
# Total magnetic moment in μB/cell: 0.00
# E_form in eV/atom: -0.075
# Calculated total energy in eV per atom: -3.187
data_MgAg7
_space_group_name_H-M_alt 'F m -3 m'
_space_group_IT_number 225
_space_group_name_Hall '-F 4 2 3'
_cell_length_a 8.1302
_cell_length_b 8.1302
_cell_length_c 8.1302
_cell_angle_alpha 90.00
_cell_angle_beta 90.00
_cell_angle_gamma 90.00
loop_
_atom_site_label
_atom_site_type_symbol
_atom_site_fract_x
_atom_site_fract_y
_atom_site_fract_z
Mg1 Mg 0.0000 0.0000 0.0000
Ag1 Ag 0.0000 0.0000 0.5000
Ag2 Ag 0.0000 0.2500 0.2500

***

(6)
# Mg4Ag, optimized geometry, DFT GGA-PBEsol
# Total magnetic moment in μB/cell: 0.00
# E_form in eV/atom: -0.082
# Calculated total energy in eV per atom: -2.118
data_Mg4Ag
_space_group_name_H-M_alt 'I 4/m m m'
_space_group_IT_number 139
_space_group_name_Hall '-I 4 2'
_cell_length_a 3.4611
_cell_length_b 3.4611
_cell_length_c 16.9138
_cell_angle_alpha 90.00
_cell_angle_beta 90.00
_cell_angle_gamma 90.00
loop_
_atom_site_label
_atom_site_type_symbol
_atom_site_fract_x
_atom_site_fract_y
_atom_site_fract_z
Mg1 Mg 0.0000 0.0000 0.0885
Mg2 Mg 0.0000 0.0000 0.3030
Ag1 Ag 0.0000 0.0000 0.5000

***

(7)
# Mg17Ag12, optimized geometry, DFT GGA-PBEsol
# Total magnetic moment in μB/cell: 0.00
# E_form in eV/atom: -0.148
# Calculated total energy in eV per atom: -2.525
data_Mg17Ag12
_space_group_name_H-M_alt 'I -4 3 m'
_space_group_IT_number 217
_space_group_name_Hall 'I -4 2 3'
_cell_length_a 10.3070
_cell_length_b 10.3070
_cell_length_c 10.3070
_cell_angle_alpha 90.00
_cell_angle_beta 90.00
_cell_angle_gamma 90.00
loop_
_atom_site_label
_atom_site_type_symbol
_atom_site_fract_x
_atom_site_fract_y
_atom_site_fract_z
Mg1 Mg 0.0000 0.0000 0.0000
Mg2 Mg 0.0475 0.3590 0.3590
Mg3 Mg 0.1673 0.1673 0.8327
Ag1 Ag 0.0937 0.0937 0.2858

***

(8)
# Mg3Ag, optimized geometry, DFT GGA-PBEsol
# Total magnetic moment in μB/cell: 0.00
# E_form in eV/atom: -0.051
# Calculated total energy in eV per atom: -2.166
data_Mg3Ag
_space_group_name_H-M_alt 'R -3 m'
_space_group_IT_number 166
_space_group_name_Hall '-R 3 2"'
_cell_length_a 9.5429
_cell_length_b 9.5429
_cell_length_c 2.9862
_cell_angle_alpha 90.00
_cell_angle_beta 90.00
_cell_angle_gamma 120.00
loop_
_atom_site_label
_atom_site_type_symbol
_atom_site_fract_x
_atom_site_fract_y
_atom_site_fract_z
Mg1 Mg 0.0000 0.5000 0.0000
Ag1 Ag 0.0000 0.0000 0.0000

***

(9)
# MgAg5, optimized geometry, DFT GGA-PBEsol
# Total magnetic moment in μB/cell: 0.00
# E_form in eV/atom: -0.115
# Calculated total energy in eV per atom: -3.160
data_MgAg5
_space_group_name_H-M_alt 'C m m m'
_space_group_IT_number 65
_space_group_name_Hall '-C 2 2'
_cell_length_a 4.0750
_cell_length_b 12.3120
_cell_length_c 4.0257
_cell_angle_alpha 90.00
_cell_angle_beta 90.00
_cell_angle_gamma 90.00
loop_
_atom_site_label
_atom_site_type_symbol
_atom_site_fract_x
_atom_site_fract_y
_atom_site_fract_z
Mg1 Mg 0.0000 0.0000 0.0000
Ag1 Ag 0.0000 0.1674 0.5000
Ag2 Ag 0.0000 0.3340 0.0000
Ag3 Ag 0.0000 0.5000 0.5000

***

(10)
# Mg5Ag3, optimized geometry, DFT GGA-PBEsol
# Total magnetic moment in μB/cell: 0.00
# E_form in eV/atom: -0.176
# Calculated total energy in eV per atom: -2.491
data_Mg5Ag3
_space_group_name_H-M_alt 'C m m m'
_space_group_IT_number 65
_space_group_name_Hall '-C 2 2'
_cell_length_a 6.8557
_cell_length_b 9.3525
_cell_length_c 4.6268
_cell_angle_alpha 90.00
_cell_angle_beta 90.00
_cell_angle_gamma 90.00
loop_
_atom_site_label
_atom_site_type_symbol
_atom_site_fract_x
_atom_site_fract_y
_atom_site_fract_z
Mg1 Mg 0.0000 0.0000 0.0000
Mg2 Mg 0.2270 0.5000 0.5000
Mg3 Mg 0.2500 0.2500 0.0000
Ag1 Ag 0.0000 0.2334 0.5000
Ag2 Ag 0.0000 0.5000 0.0000

***

(11)
# Mg3Ag, optimized geometry, DFT GGA-PBEsol
# Total magnetic moment in μB/cell: 0.00
# E_form in eV/atom: -0.145
# Calculated total energy in eV per atom: -2.261
data_Mg3Ag
_space_group_name_H-M_alt 'P 63 c m'
_space_group_IT_number 185
_space_group_name_Hall 'P 6c -2'
_cell_length_a 8.1019
_cell_length_b 8.1019
_cell_length_c 8.6112
_cell_angle_alpha 90.00
_cell_angle_beta 90.00
_cell_angle_gamma 120.00
loop_
_atom_site_label
_atom_site_type_symbol
_atom_site_fract_x
_atom_site_fract_y
_atom_site_fract_z
Mg1 Mg 0.0000 0.0000 0.2472
Mg2 Mg 0.0000 0.2795 0.0000
Mg3 Mg 0.0000 0.3753 0.3423
Mg4 Mg 0.3333 0.6667 0.1154
Ag1 Ag 0.0000 0.3282 0.6718

***

(12)
# Mg54Ag17, optimized geometry, DFT GGA-PBEsol
# Total magnetic moment in μB/cell: 0.00
# E_form in eV/atom: -0.145
# Calculated total energy in eV per atom: -2.243
data_Mg54Ag17
_space_group_name_H-M_alt 'I m m m'
_space_group_IT_number 71
_space_group_name_Hall '-I 2 2'
_cell_length_a 13.9985
_cell_length_b 14.0505
_cell_length_c 14.5386
_cell_angle_alpha 90.00
_cell_angle_beta 90.00
_cell_angle_gamma 90.00
loop_
_atom_site_label
_atom_site_type_symbol
_atom_site_fract_x
_atom_site_fract_y
_atom_site_fract_z
Mg1 Mg 0.0000 0.0000 0.1455
Mg2 Mg 0.0000 0.1799 0.3965
Mg3 Mg 0.0000 0.3167 0.0980
Mg4 Mg 0.0000 0.3848 0.5000
Mg5 Mg 0.1022 0.5000 0.3361
Mg6 Mg 0.1110 0.0000 0.3308
Mg7 Mg 0.1133 0.5000 0.0000
Mg8 Mg 0.1184 0.1815 0.2135
Mg9 Mg 0.1275 0.1064 0.0000
Mg10 Mg 0.1748 0.1084 0.5000
Mg11 Mg 0.1887 0.3105 0.3917
Mg12 Mg 0.1917 0.3865 0.1791
Ag1 Ag 0.0000 0.0000 0.5000
Ag2 Ag 0.0000 0.3332 0.2888
Ag3 Ag 0.0000 0.5000 0.1699
Ag4 Ag 0.1679 0.2928 0.0000
Ag5 Ag 0.1902 0.5000 0.5000
Ag6 Ag 0.2012 0.0000 0.1659